An optimized crystal structure of PmPrOsAu. Source: Alexandria, functional PBE.

Output
**N(E_F)**: 0.8715 states/eV per atom
**ΔH_f (0 K)**: -1.173 eV per formula unit
**ρ**: 11.86 Mg/m³
**DFT total energy**: -6.303 eV/atom
**V**: 94.24 Å³/cell

a = 5.1080 Å, b = 5.1080 Å, c = 5.1080 Å
α = 60.00°, β = 60.00°, γ = 60.00°
Last column: nearest neighbours and their distance in Å.
Atoms (fractional coordinates):
Pr 0.2500 0.2500 0.2500  4 Os 3.13, 4 Au 3.13
Os 0.5000 0.5000 0.5000  4 Pr 3.13, 4 Pm 3.13
Au 0.0000 0.0000 0.0000  4 Pm 3.13, 4 Pr 3.13
Pm 0.7500 0.7500 0.7500  4 Au 3.13, 4 Os 3.13